Record 1
# TbSc4Ge4, relaxed, DFT PBE-GGA
# **E_form**: -0.583 eV per atom
# **Energy**: -53.7 eV/f.u.
# **Crystal system**: tetragonal
# **Fermi-level density of states**: 0.8577 states/eV/atom
data_TbSc4Ge4
_chemical_formula_sum 'Tb2 Sc8 Ge8'
_cell_length_a 8.873
_cell_length_b 8.873
_cell_length_c 5.444
_cell_angle_alpha 90.00
_cell_angle_beta 90.00
_cell_angle_gamma 90.00
_symmetry_space_group_name_H-M 'P 42/n'
_symmetry_Int_Tables_number 86
loop_
_symmetry_equiv_pos_as_xyz
'x,y,z'
'-x,-y,-z'
'-y,x+1/2,z+1/2'
'y,-x+1/2,-z+1/2'
'-x+1/2,-y+1/2,z'
'x+1/2,y+1/2,-z'
'y+1/2,-x,z+1/2'
'-y+1/2,x,-z+1/2'
loop_
_atom_site_label
_atom_site_type_symbol
_atom_site_fract_x
_atom_site_fract_y
_atom_site_fract_z
_atom_site_occupancy
Tb1 Tb 0.250 0.250 0.250 1
Sc1 Sc 0.102 0.639 0.136 1
Ge1 Ge 0.049 0.600 0.649 1

Record 2
# BaHg2Mo, relaxed, DFT PBE-GGA
# **E_form**: 0.462 eV per atom
# **Energy**: -11.5 eV/f.u.
# **Relative energy among the computed polymorphs**: 0.098 eV/atom
# **Crystal system**: orthorhombic
# **Fermi-level density of states**: 0.8631 states/eV/atom
data_BaHg2Mo
_chemical_formula_sum 'Ba2 Hg4 Mo2'
_cell_length_a 3.622
_cell_length_b 4.491
_cell_length_c 14.425
_cell_angle_alpha 90.00
_cell_angle_beta 90.00
_cell_angle_gamma 90.00
_symmetry_space_group_name_H-M 'I m m 2'
_symmetry_Int_Tables_number 44
loop_
_symmetry_equiv_pos_as_xyz
'x,y,z'
'-x,-y,z'
'-x,y,z'
'x,-y,z'
'x+1/2,y+1/2,z+1/2'
'-x+1/2,-y+1/2,z+1/2'
'-x+1/2,y+1/2,z+1/2'
'x+1/2,-y+1/2,z+1/2'
loop_
_atom_site_label
_atom_site_type_symbol
_atom_site_fract_x
_atom_site_fract_y
_atom_site_fract_z
_atom_site_occupancy
Ba1 Ba 0.000 0.000 0.000 1
Hg1 Hg 0.000 0.000 0.640 1
Hg2 Hg 0.000 0.500 0.805 1
Mo1 Mo 0.000 0.500 0.295 1

Record 3
# Ti3NbNi, relaxed, DFT PBE-GGA
# **E_form**: 1.215 eV per atom
# **Energy**: -33.5 eV/f.u.
# **Relative energy among the computed polymorphs**: 0.754 eV/atom
# **Crystal system**: cubic
# **Fermi-level density of states**: 2.2312 states/eV/atom
data_Ti3NbNi
_chemical_formula_sum 'Ti3 Nb1 Ni1'
_cell_length_a 4.703
_cell_length_b 4.703
_cell_length_c 4.703
_cell_angle_alpha 90.00
_cell_angle_beta 90.00
_cell_angle_gamma 90.00
_symmetry_space_group_name_H-M 'P m -3 m'
_symmetry_Int_Tables_number 221
_symmetry_space_group_name_Hall '-P 4 2 3'
loop_
_atom_site_label
_atom_site_type_symbol
_atom_site_fract_x
_atom_site_fract_y
_atom_site_fract_z
_atom_site_occupancy
Ti1 Ti 0.000 0.000 0.500 1
Nb1 Nb 0.000 0.000 0.000 1
Ni1 Ni 0.500 0.500 0.500 1

Record 4
# LaTmPu2, relaxed, DFT PBE-GGA
# **E_form**: 0.661 eV per atom
# **Energy**: -35.4 eV/f.u.
# **Relative energy among the computed polymorphs**: 0.468 eV/atom
# **Crystal system**: trigonal
# **Fermi-level density of states**: 4.0603 states/eV/atom
data_LaTmPu2
_chemical_formula_sum 'La3 Tm3 Pu6'
_cell_length_a 4.1283
_cell_length_b 4.1283
_cell_length_c 24.3374
_cell_angle_alpha 90.00
_cell_angle_beta 90.00
_cell_angle_gamma 120.00
_symmetry_space_group_name_H-M 'R 3 m'
_symmetry_Int_Tables_number 160
_symmetry_space_group_name_Hall 'R 3 -2"'
loop_
_atom_site_label
_atom_site_type_symbol
_atom_site_fract_x
_atom_site_fract_y
_atom_site_fract_z
_atom_site_occupancy
La1 La 0.0000 0.0000 0.0000 1
Tm1 Tm 0.0000 0.0000 0.1719 1
Pu1 Pu 0.0000 0.0000 0.4039 1
Pu2 Pu 0.0000 0.0000 0.6048 1

Number 1: total magnetic moment 0.00 μB/f.u.. Number 2: total magnetic moment 2.46 μB/f.u.. Number 3: total magnetic moment 1.40 μB/f.u.. Number 4: total magnetic moment 12.11 μB/f.u..